Entry 1:
## Tb3NdDy4S8 (PBE)

Data for a geometry-optimized Tb3NdDy4S8 structure.

Cell lengths 7.868, 7.875, 7.867 Å; angles 119.97, 120.00, 90.00 degrees
Positions (direct):
Tb1 0.500 0.500 0.000
Tb2 0.500 0.500 0.500
Tb3 0.000 0.500 0.500
Nd1 0.000 0.500 0.000
Dy1 0.500 0.000 0.000
Dy2 0.500 0.000 0.500
Dy3 0.000 0.000 0.000
Dy4 0.000 0.000 0.500
S1 0.255 0.757 0.002
S2 0.255 0.757 0.510
S3 0.249 0.248 0.498
S4 0.746 0.757 0.002
S5 0.254 0.243 0.998
S6 0.751 0.752 0.502
S7 0.745 0.243 0.490
S8 0.745 0.243 0.998

Properties
Its density of states at the Fermi level is 8.83 states/eV per cell. Its raw formation energy is -2.00 eV/atom. As for the magnetization: 0.0 μB/f.u. As for the space-group type: R-3m (166). For the mass density, the calculation gives 7.357 Mg/m³.

Entry 2:
## Tb2NdDy3S6 (PBE)

Data for a geometry-optimized Tb2NdDy3S6 structure.

Cell lengths 6.826, 6.826, 6.829 Å; angles 99.56, 99.56, 120.18 degrees
Positions (direct):
Tb1 0.334 0.666 0.000
Tb2 0.666 0.334 0.000
Nd1 0.000 0.000 0.000
Dy1 0.163 0.837 0.500
Dy2 0.837 0.163 0.500
Dy3 0.500 0.500 0.500
S1 0.914 0.573 0.743
S2 0.744 0.744 0.254
S3 0.086 0.427 0.257
S4 0.573 0.914 0.743
S5 0.256 0.256 0.746
S6 0.427 0.086 0.257

Properties
Its density of states at the Fermi level is 4.94 states/eV per cell. Its raw formation energy is -2.01 eV/atom. As for the magnetization: 0.0 μB/f.u. As for the space-group type: C2/m (12). For the mass density, the calculation gives 7.311 Mg/m³.

Entry 3:
## Tb3Nd2DyS6 (PBE)

Data for a geometry-optimized Tb3Nd2DyS6 structure.

Cell lengths 3.955, 7.992, 8.874 Å; angles 103.18, 102.87, 90.00 degrees
Positions (direct):
Tb1 0.500 0.500 0.000
Tb2 0.831 0.167 0.662
Tb3 0.169 0.833 0.338
Nd1 0.833 0.665 0.665
Nd2 0.167 0.335 0.335
Dy1 0.500 0.000 0.000
S1 0.335 0.926 0.670
S2 0.663 0.591 0.327
S3 0.665 0.074 0.330
S4 0.996 0.246 0.993
S5 0.004 0.754 0.007
S6 0.337 0.409 0.673

Properties
Its density of states at the Fermi level is 5.17 states/eV per cell. Its raw formation energy is -2.01 eV/atom. As for the magnetization: 0.0 μB/f.u. As for the space-group type: C2/m (12). For the mass density, the calculation gives 6.997 Mg/m³.

Entry 4:
## Tb3Nd3DyS8 (PBE)

Data for a geometry-optimized Tb3Nd3DyS8 structure.

Cell lengths 7.940, 7.940, 8.007 Å; angles 119.73, 90.00, 120.00 degrees
Positions (direct):
Tb1 0.500 0.000 0.500
Tb2 0.500 0.500 0.500
Tb3 0.000 0.500 0.500
Nd1 0.000 0.000 0.000
Nd2 0.000 0.500 0.000
Nd3 0.500 0.500 0.000
Dy1 0.000 0.000 0.500
S1 0.254 0.508 0.263
S2 0.746 0.492 0.737
S3 0.754 0.508 0.262
S4 0.246 0.492 0.738
S5 0.754 0.008 0.262
S6 0.246 0.992 0.738
S7 0.255 0.008 0.262
S8 0.745 0.992 0.738

Properties
Its density of states at the Fermi level is 6.88 states/eV per cell. Its raw formation energy is -2.06 eV/atom. As for the magnetization: 0.0 μB/f.u. As for the space-group type: R-3m (166). For the mass density, the calculation gives 6.154 Mg/m³.

Entry 5:
## Nd2DyTe2S2 (PBE)

Data for a geometry-optimized Nd2DyTe2S2 structure.

Cell lengths 5.066, 5.066, 8.805 Å; angles 106.72, 106.72, 90.00 degrees
Positions (direct):
Nd1 0.385 0.385 0.769
Nd2 0.615 0.615 0.231
Dy1 0.000 0.000 0.000
Te1 0.186 0.186 0.373
Te2 0.814 0.814 0.627
S1 0.000 0.500 0.000
S2 0.500 0.000 0.000

Properties
Its density of states at the Fermi level is 2.89 states/eV per cell. Its raw formation energy is -1.49 eV/atom. As for the magnetization: 0.0 μB/f.u. As for the space-group type: I4/mmm (139). For the mass density, the calculation gives 6.196 Mg/m³.

Entry 6:
## NdDyTe2S (PBE)

Data for a geometry-optimized NdDyTe2S structure.

Cell lengths 4.454, 4.454, 15.737 Å; angles 90.00, 90.00, 90.00 degrees
Positions (direct):
Nd1 0.500 0.000 0.605
Nd2 0.000 0.500 0.395
Dy1 0.500 0.000 0.111
Dy2 0.000 0.500 0.889
Te1 0.000 0.500 0.704
Te2 0.000 0.500 0.093
Te3 0.500 0.000 0.907
Te4 0.500 0.000 0.296
S1 0.000 0.000 0.500
S2 0.500 0.500 0.500

Properties
Its density of states at the Fermi level is 2.91 states/eV per cell. Its raw formation energy is -1.49 eV/atom. As for the magnetization: 0.0 μB/f.u. As for the space-group type: P4/nmm (129). For the mass density, the calculation gives 6.319 Mg/m³.

Entry 7:
## Nd3Dy2ThS6 (PBE)

Data for a geometry-optimized Nd3Dy2ThS6 structure.

Cell lengths 4.003, 8.053, 8.964 Å; angles 102.97, 102.90, 90.00 degrees
Positions (direct):
Nd1 0.500 0.500 0.000
Nd2 0.836 0.167 0.673
Nd3 0.164 0.833 0.327
Dy1 0.834 0.669 0.668
Dy2 0.166 0.331 0.332
Th1 0.500 0.000 0.000
S1 0.332 0.905 0.664
S2 0.671 0.575 0.342
S3 0.668 0.095 0.336
S4 0.005 0.253 0.010
S5 0.995 0.747 0.990
S6 0.329 0.425 0.658

Properties
Its density of states at the Fermi level is 5.98 states/eV per cell. Its raw formation energy is -1.98 eV/atom. As for the magnetization: 0.0 μB/f.u. As for the space-group type: C2/m (12). For the mass density, the calculation gives 7.163 Mg/m³.

Entry 8:
## Nd4DyTh3S8 (PBE)

Data for a geometry-optimized Nd4DyTh3S8 structure.

Cell lengths 8.057, 8.098, 8.056 Å; angles 119.83, 120.00, 90.00 degrees
Positions (direct):
Nd1 0.500 0.000 0.000
Nd2 0.500 0.000 0.500
Nd3 0.000 0.000 0.000
Nd4 0.000 0.000 0.500
Dy1 0.000 0.500 0.000
Th1 0.500 0.500 0.000
Th2 0.500 0.500 0.500
Th3 0.000 0.500 0.500
S1 0.245 0.744 0.999
S2 0.245 0.744 0.490
S3 0.250 0.250 0.500
S4 0.755 0.744 0.999
S5 0.245 0.256 0.001
S6 0.750 0.750 0.500
S7 0.755 0.256 0.510
S8 0.755 0.256 0.001

Properties
Its density of states at the Fermi level is 7.02 states/eV per cell. Its raw formation energy is -1.94 eV/atom. As for the magnetization: 0.0 μB/f.u. As for the space-group type: R-3m (166). For the mass density, the calculation gives 7.541 Mg/m³.

Entry 9:
## NdDy2ThS4 (PBE)

Data for a geometry-optimized NdDy2ThS4 structure.

Cell lengths 3.939, 6.980, 6.857 Å; angles 70.99, 90.00, 90.00 degrees
Positions (direct):
Nd1 0.500 0.500 0.000
Dy1 0.000 0.000 0.000
Dy2 0.500 0.000 0.500
Th1 0.000 0.500 0.500
S1 0.000 0.765 0.744
S2 0.000 0.235 0.256
S3 0.500 0.765 0.246
S4 0.500 0.235 0.754

Properties
Its density of states at the Fermi level is 3.27 states/eV per cell. Its raw formation energy is -1.96 eV/atom. As for the magnetization: 0.0 μB/f.u. As for the space-group type: P2/m (10). For the mass density, the calculation gives 7.727 Mg/m³.

Entry 10:
## NdDy3Th4S8 (PBE)

Data for a geometry-optimized NdDy3Th4S8 structure.

Cell lengths 7.869, 8.110, 7.869 Å; angles 119.02, 120.00, 90.00 degrees
Positions (direct):
Nd1 0.000 0.500 0.000
Dy1 0.500 0.500 0.000
Dy2 0.500 0.500 0.500
Dy3 0.000 0.500 0.500
Th1 0.500 0.000 0.000
Th2 0.500 0.000 0.500
Th3 0.000 0.000 0.000
Th4 0.000 0.000 0.500
S1 0.249 0.739 0.989
S2 0.249 0.739 0.499
S3 0.255 0.266 0.511
S4 0.740 0.739 0.989
S5 0.260 0.261 0.011
S6 0.745 0.734 0.489
S7 0.751 0.261 0.501
S8 0.751 0.261 0.011

Properties
Its density of states at the Fermi level is 5.21 states/eV per cell. Its raw formation energy is -1.91 eV/atom. As for the magnetization: 0.0 μB/f.u. As for the space-group type: R-3m (166). For the mass density, the calculation gives 8.372 Mg/m³.

Entry 11:
## Nd3DyTh4S8 (PBE)

Data for a geometry-optimized Nd3DyTh4S8 structure.

Cell lengths 7.988, 8.147, 7.987 Å; angles 119.35, 120.00, 90.00 degrees
Positions (direct):
Nd1 0.500 0.500 0.000
Nd2 0.500 0.500 0.500
Nd3 0.000 0.500 0.500
Dy1 0.000 0.500 0.000
Th1 0.500 0.000 0.000
Th2 0.500 0.000 0.500
Th3 0.000 0.000 0.000
Th4 0.000 0.000 0.500
S1 0.245 0.744 0.000
S2 0.245 0.744 0.490
S3 0.250 0.251 0.501
S4 0.755 0.744 0.000
S5 0.245 0.256 0.000
S6 0.750 0.749 0.499
S7 0.755 0.256 0.510
S8 0.755 0.256 0.000

Properties
Its density of states at the Fermi level is 5.70 states/eV per cell. Its raw formation energy is -1.92 eV/atom. As for the magnetization: 0.0 μB/f.u. As for the space-group type: R-3m (166). For the mass density, the calculation gives 7.965 Mg/m³.

Entry 12:
## Nd2DyThS4 (PBE)

Data for a geometry-optimized Nd2DyThS4 structure.

Cell lengths 3.998, 6.999, 6.968 Å; angles 109.19, 90.00, 90.00 degrees
Positions (direct):
Nd1 0.500 0.000 0.500
Nd2 0.000 0.500 0.500
Dy1 0.000 0.000 0.000
Th1 0.500 0.500 0.000
S1 0.500 0.240 0.239
S2 0.500 0.760 0.761
S3 0.000 0.245 0.756
S4 0.000 0.755 0.244

Properties
Its density of states at the Fermi level is 3.49 states/eV per cell. Its raw formation energy is -1.96 eV/atom. As for the magnetization: 0.0 μB/f.u. As for the space-group type: P2/m (10). For the mass density, the calculation gives 7.316 Mg/m³.